[1]
This record from Alexandria via LeMat-Bulk describes a geometry-optimized CuTcOs2 structure. The functional is PBE.

Theoretical density ... 15.9 g/cm³
E_form ... 490.3 meV per atom
Polymorph energy (0 for the lowest one) ... 317 meV per atom

Cell lengths 4.306, 4.306, 4.306 Å; angles 60.00, 60.00, 60.00 degrees
Atoms (fractional coordinates):
Tc1 0.750 0.750 0.750
Os1 0.000 0.000 0.000
Cu1 0.500 0.500 0.500
Os2 0.250 0.250 0.250

[2]
This record from Alexandria via LeMat-Bulk describes a geometry-optimized Cu2TcOs structure. The functional is PBE.

Theoretical density ... 12.7 g/cm³
E_form ... 429.1 meV per atom
Polymorph energy (0 for the lowest one) ... 292 meV per atom

Cell lengths 2.558, 2.558, 8.699 Å; angles 90.00, 90.00, 106.86 degrees
Atoms (fractional coordinates):
Cu1 0.000 0.000 0.000
Tc1 0.500 0.500 0.750
Os1 0.500 0.500 0.250
Cu2 0.000 0.000 0.500

[3]
This record from Alexandria via LeMat-Bulk describes a geometry-optimized CuTcOs structure. The functional is PBE.

Theoretical density ... 11.8 g/cm³
E_form ... 656.0 meV per atom
Polymorph energy (0 for the lowest one) ... 511 meV per atom

Cell lengths 4.116, 4.116, 4.116 Å; angles 60.00, 60.00, 60.00 degrees
Atoms (fractional coordinates):
Os1 0.750 0.750 0.750
Tc1 0.000 0.000 0.000
Cu1 0.500 0.500 0.500

[4]
This record from Alexandria via LeMat-Bulk describes a geometry-optimized Cu2TcOs structure. The functional is PBE.

Theoretical density ... 12.7 g/cm³
E_form ... 416.9 meV per atom
Polymorph energy (0 for the lowest one) ... 280 meV per atom

Cell lengths 5.061, 5.061, 5.061 Å; angles 145.44, 131.57, 60.85 degrees
Atoms (fractional coordinates):
Os1 0.750 0.250 0.500
Cu1 0.999 0.999 0.000
Cu2 0.501 0.501 0.000
Tc1 0.250 0.750 0.500

[5]
This record from Alexandria via LeMat-Bulk describes a geometry-optimized CuTcOs2 structure. The functional is PBE.

Theoretical density ... 15.9 g/cm³
E_form ... 551.5 meV per atom
Polymorph energy (0 for the lowest one) ... 378 meV per atom

Cell lengths 4.463, 4.463, 2.836 Å; angles 90.00, 90.00, 90.00 degrees
Atoms (fractional coordinates):
Os1 0.000 0.000 0.000
Tc1 0.500 0.000 0.500
Os2 0.500 0.500 0.000
Cu1 0.000 0.500 0.500

[6]
This record from Alexandria via LeMat-Bulk describes a geometry-optimized CuTcOs2 structure. The functional is PBE.

Theoretical density ... 16.0 g/cm³
E_form ... 472.4 meV per atom
Polymorph energy (0 for the lowest one) ... 299 meV per atom

Cell lengths 4.302, 4.302, 4.302 Å; angles 60.00, 60.00, 60.00 degrees
Atoms (fractional coordinates):
Tc1 0.500 0.500 0.500
Cu1 0.000 0.000 0.000
Os1 0.750 0.750 0.750
Os2 0.250 0.250 0.250